Record 1
DFT (PBE) results for a relaxed structure of TbSmTlCd.

Unit cell a=5.392 b=5.392 c=5.392 alpha=60.00 beta=60.00 gamma=60.00
Fractional positions:
Tl (0.250, 0.250, 0.250)
Tb (0.500, 0.500, 0.500)
Sm (0.000, 0.000, 0.000)
Cd (0.750, 0.750, 0.750)

Properties
Calculated formation energy ... -34 kJ per mole of atoms

Record 2
DFT (PBE) results for a relaxed structure of TbSm2Tl2Cd2.

Unit cell a=5.017 b=5.017 c=9.381 alpha=74.49 beta=74.49 gamma=60.00
Fractional positions:
Tb (0.000, 0.000, 0.000)
Sm (0.130, 0.130, 0.609)
Sm (0.870, 0.870, 0.391)
Tl (0.729, 0.729, 0.813)
Tl (0.271, 0.271, 0.187)
Cd (0.584, 0.584, 0.248)
Cd (0.416, 0.416, 0.752)

Properties
Calculated formation energy ... -14 kJ per mole of atoms

calculated formation energy of number 1 (TbSmTlCd)? -34 kJ per mole of atoms

The highest calculated formation energy belongs to which entry? TbSm2Tl2Cd2